# 1
12
Lattice="4.3202 0.0000 0.0000 -2.1601 6.5008 0.0020 0.0000 -3.4794 8.8856" Properties=species:S:1:pos:R:3 comment="Sn7Pd5, PBEsol geometry, DFT meta-GGA SCAN" magmom_total_mub_per_atom=0.00 formation_energy_mev_per_atom=-386 dft_energy_ha_per_atom=-1.28608 rho_g_cm3=9.07 pbc="T T T"
Pd 0.0548 0.0000 0.0000
Pd 2.1257 2.6275 6.0519
Pd 2.1766 4.1508 1.7396
Pd 0.0164 -1.1293 7.1480
Pd -0.0344 0.3940 2.8357
Sn 0.8100 -1.7397 4.4428
Sn 0.0070 2.5639 1.0505
Sn -0.0563 1.0350 5.4992
Sn 2.1038 1.9865 3.3884
Sn 2.1834 -2.7857 7.3338
Sn 0.0232 5.8071 1.5538
Sn 2.1671 0.4576 7.8371

---

# 2
5
Lattice="-2.6182 2.4557 4.4486 3.3292 -2.9517 3.5888 3.8389 4.2347 -0.0782" Properties=species:S:1:pos:R:3 comment="SrSn3Pd, PBEsol geometry, DFT meta-GGA SCAN" magmom_total_mub_per_atom=0.00 formation_energy_mev_per_atom=1348 dft_energy_ha_per_atom=-1.14713 rho_g_cm3=4.89 pbc="T T T"
Sn 1.6646 -1.4759 1.7944
Sn -1.3091 1.2278 2.2243
Sn 1.9194 2.1174 -0.0391
Sr 0.0000 0.0000 0.0000
Pd 2.2749 1.8693 3.9796

---

# 3
5
Lattice="4.7858 0.0000 0.0000 0.0000 4.7858 0.0000 -2.3929 -2.3929 5.5837" Properties=species:S:1:pos:R:3 comment="SrSn3Pd, PBEsol geometry, DFT meta-GGA SCAN" magmom_total_mub_per_atom=0.00 formation_energy_mev_per_atom=-636 dft_energy_ha_per_atom=-1.22004 rho_g_cm3=7.14 pbc="T T T"
Sn 0.0000 2.3929 2.7456
Sn 2.3929 0.0000 2.7456
Sn 0.0000 0.0000 4.5906
Sr 2.3929 2.3929 5.5394
Pd 2.3929 2.3929 1.5879

---

# 4
5
Lattice="-3.3334 -1.2474 -3.5216 3.6809 -1.9040 -2.8098 -0.6392 -4.4596 2.1846" Properties=species:S:1:pos:R:3 comment="TaSn3Pd, PBEsol geometry, DFT meta-GGA SCAN" magmom_total_mub_per_atom=0.00 formation_energy_mev_per_atom=1066 dft_energy_ha_per_atom=-1.48315 rho_g_cm3=8.51 pbc="T T T"
Sn -1.6667 -0.6237 -1.7608
Sn -0.3196 -2.2298 1.0923
Sn 1.8405 -0.9520 -1.4049
Ta -0.1458 -3.8055 -2.0734
Pd 0.0000 0.0000 0.0000

---

# 5
12
Lattice="4.5875 0.0000 0.0000 0.0000 7.1328 0.0000 0.0000 0.0000 7.8533" Properties=species:S:1:pos:R:3 comment="TbSnPd, PBEsol geometry, DFT meta-GGA SCAN" magmom_total_mub_per_atom=0.00 formation_energy_mev_per_atom=-1039 dft_energy_ha_per_atom=-1.45253 rho_g_cm3=9.93 pbc="T T T"
Pd 1.1469 1.4702 4.5857
Pd 1.1469 5.0366 7.1943
Pd 3.4406 5.6627 3.2676
Pd 3.4406 2.0962 0.6590
Tb 1.1469 3.4969 2.3230
Tb 3.4406 3.6360 5.5303
Tb 3.4406 0.0695 6.2496
Tb 1.1469 7.0633 1.6037
Sn 1.1469 2.1996 7.1687
Sn 3.4406 1.3668 3.2420
Sn 3.4406 4.9332 0.6846
Sn 1.1469 5.7661 4.6113

---

# 6
9
Lattice="-0.6988 2.7000 2.8782 -3.1888 1.3357 -2.0273 -4.0273 -8.8072 4.4936" Properties=species:S:1:pos:R:3 comment="SnTe2Pd6, PBEsol geometry, DFT meta-GGA SCAN" magmom_total_mub_per_atom=0.00 e_form_raw_mev_per_atom=-448 dft_energy_ha_per_atom=-1.27032 rho_g_cm3=10.17 pbc="T T T"
Te -3.8438 -4.3705 3.1666
Te -4.1391 -0.4782 2.2340
Pd -2.3536 -2.6761 1.9389
Pd -1.4762 0.0688 2.3674
Pd -6.4124 -4.8103 2.9555
Pd -5.1674 -4.1282 5.4082
Pd -5.9507 -6.7661 4.9023
Pd -2.7212 -0.6133 -0.0854
Sn -0.0088 -0.0101 0.0073

---

# 7
4
Lattice="3.1954 0.0000 0.0000 1.5977 2.7673 0.0000 1.5977 0.9224 11.1291" Properties=species:S:1:pos:R:3 comment="SnTe2Pd, PBEsol geometry, DFT meta-GGA SCAN" magmom_total_mub_per_atom=0.00 e_form_raw_mev_per_atom=197 dft_energy_ha_per_atom=-1.30837 rho_g_cm3=8.10 pbc="T T T"
Sn 3.1954 1.8449 5.5646
Te 1.5977 0.9224 8.5737
Te 4.7931 2.7673 2.5555
Pd 0.0000 0.0000 0.0000

---

# 8
4
Lattice="3.7866 0.0000 0.0000 1.8933 3.2793 0.0000 1.8933 1.0931 9.1553" Properties=species:S:1:pos:R:3 comment="SnTe2Pd, PBEsol geometry, DFT meta-GGA SCAN" magmom_total_mub_per_atom=0.00 e_form_raw_mev_per_atom=-87 dft_energy_ha_per_atom=-1.31879 rho_g_cm3=7.02 pbc="T T T"
Te 1.8933 1.0931 6.0940
Te 5.6799 3.2793 3.0613
Sn 0.0000 0.0000 0.0000
Pd 3.7866 2.1862 4.5776

---

# 9
5
Lattice="4.1492 0.0000 0.0000 0.0000 4.1492 0.0000 -2.0746 -2.0746 5.3488" Properties=species:S:1:pos:R:3 comment="Ti2SnPd2, PBEsol geometry, DFT meta-GGA SCAN" magmom_total_mub_per_atom=0.13 formation_energy_mev_per_atom=-330 dft_energy_ha_per_atom=-0.99356 rho_g_cm3=7.71 pbc="T T T"
Ti 2.0746 0.0000 2.6744
Ti 0.0000 2.0746 2.6744
Sn 0.0000 0.0000 0.0000
Pd 0.0000 0.0000 4.1003
Pd 2.0746 2.0746 1.2484

---

# 10
5
Lattice="3.9120 0.0000 0.0000 0.0000 3.9120 0.0000 -1.9560 -1.9560 6.2172" Properties=species:S:1:pos:R:3 comment="TiSn2Pd2, PBEsol geometry, DFT meta-GGA SCAN" magmom_total_mub_per_atom=0.00 formation_energy_mev_per_atom=-183 dft_energy_ha_per_atom=-1.13434 rho_g_cm3=8.69 pbc="T T T"
Sn 0.0000 0.0000 4.8650
Sn 1.9560 1.9560 1.3521
Pd 1.9560 0.0000 3.1086
Pd 0.0000 1.9560 3.1086
Ti 0.0000 0.0000 0.0000

---

# 11
5
Lattice="5.2236 0.0000 0.0000 0.0000 5.2236 0.0000 0.0000 0.0000 5.2236" Properties=species:S:1:pos:R:3 comment="Tl3SnPd, PBEsol geometry, DFT meta-GGA SCAN" magmom_total_mub_per_atom=0.00 formation_energy_mev_per_atom=149 dft_energy_ha_per_atom=-2.09490 rho_g_cm3=9.77 pbc="T T T"
Sn 2.6118 2.6118 2.6118
Tl 0.0000 0.0000 2.6118
Tl 0.0000 2.6118 0.0000
Tl 2.6118 0.0000 0.0000
Pd 0.0000 0.0000 0.0000

---

# 12
4
Lattice="4.6884 0.0000 0.0000 2.3442 4.0603 0.0000 2.3442 1.3534 3.8281" Properties=species:S:1:pos:R:3 comment="TmSnPd2, PBEsol geometry, DFT meta-GGA SCAN" magmom_total_mub_per_atom=0.00 formation_energy_mev_per_atom=-947 dft_energy_ha_per_atom=-1.44322 rho_g_cm3=11.40 pbc="T T T"
Tm 4.6884 2.7069 1.9140
Pd 2.3442 1.3534 0.9570
Pd 7.0326 4.0603 2.8711
Sn 0.0000 0.0000 0.0000

---

# 13
16
Lattice="4.6873 0.0000 0.0000 2.3436 4.0593 0.0000 2.3436 1.3531 15.4275" Properties=species:S:1:pos:R:3 comment="YTm3Sn4Pd8, PBEsol geometry, DFT meta-GGA SCAN" magmom_total_mub_per_atom=0.00 formation_energy_mev_per_atom=-943 dft_energy_ha_per_atom=-1.38799 rho_g_cm3=10.87 pbc="T T T"
Sn 2.3436 1.3531 9.6455
Sn 4.6873 2.7062 13.5042
Sn 4.6873 2.7062 1.9233
Sn 7.0309 4.0593 5.7820
Pd 4.6873 2.7062 10.6306
Pd 4.6873 2.7062 4.7969
Pd 2.3436 1.3531 12.5553
Pd 2.3436 1.3531 6.6228
Pd 2.3436 1.3531 0.9352
Pd 7.0309 4.0593 2.8722
Pd 7.0309 4.0593 8.8047
Pd 7.0309 4.0593 14.4923
Tm 2.3436 1.3531 3.8201
Tm 7.0309 4.0593 11.6075
Tm 0.0000 0.0000 0.0000
Y 4.6873 2.7062 7.7138

---

# 14
5
Lattice="4.6956 0.0000 0.0000 0.0000 4.6956 0.0000 0.0000 0.0000 4.6956" Properties=species:S:1:pos:R:3 comment="SnPdW3, PBEsol geometry, DFT meta-GGA SCAN" magmom_total_mub_per_atom=0.00 formation_energy_mev_per_atom=2301 dft_energy_ha_per_atom=-1.95694 rho_g_cm3=12.46 pbc="T T T"
W 2.3478 0.0000 0.0000
W 0.0000 0.0000 2.3478
W 0.0000 2.3478 0.0000
Sn 2.3478 2.3478 2.3478
Pd 0.0000 0.0000 0.0000

---

# 15
5
Lattice="5.1437 0.0000 0.0000 0.0000 5.1437 0.0000 0.0000 0.0000 5.1437" Properties=species:S:1:pos:R:3 comment="Sn3PdW, PBEsol geometry, DFT meta-GGA SCAN" magmom_total_mub_per_atom=0.00 formation_energy_mev_per_atom=744 dft_energy_ha_per_atom=-1.51779 rho_g_cm3=7.89 pbc="T T T"
W 0.0000 0.0000 0.0000
Sn 2.5718 0.0000 0.0000
Sn 0.0000 2.5718 0.0000
Sn 0.0000 0.0000 2.5718
Pd 2.5718 2.5718 2.5718

---

# 16
4
Lattice="-1.6035 3.7213 -2.0435 -3.3723 -0.3429 -3.0174 -4.1370 1.5525 1.0344" Properties=species:S:1:pos:R:3 comment="Zn2SnPd, PBEsol geometry, DFT meta-GGA SCAN" magmom_total_mub_per_atom=0.00 formation_energy_mev_per_atom=4 dft_energy_ha_per_atom=-0.87933 rho_g_cm3=8.94 pbc="T T T"
Zn -6.8346 3.6981 -3.0198
Zn -2.2782 1.2327 -1.0066
Sn -4.5564 2.4654 -2.0132
Pd 0.0000 0.0000 0.0000

---

# 17
5
Lattice="-0.3809 2.9291 2.5205 -3.4968 -1.3392 1.0279 4.7313 -4.4776 2.9275" Properties=species:S:1:pos:R:3 comment="ZnSn2Pd2, PBEsol geometry, DFT meta-GGA SCAN" magmom_total_mub_per_atom=0.00 formation_energy_mev_per_atom=-46 dft_energy_ha_per_atom=-1.11083 rho_g_cm3=8.61 pbc="T T T"
Pd 1.2058 -0.3768 3.6111
Pd -0.3522 -2.5109 2.8648
Sn -1.3237 -0.0163 2.8099
Sn 2.1773 -2.8714 3.6660
Zn 0.0000 0.0000 0.0000

---

# 18
5
Lattice="5.1672 0.0000 0.0000 0.0000 5.1672 0.0000 0.0000 0.0000 5.1672" Properties=species:S:1:pos:R:3 comment="Zr3SnPd, PBEsol geometry, DFT meta-GGA SCAN" magmom_total_mub_per_atom=0.00 formation_energy_mev_per_atom=981 dft_energy_ha_per_atom=-1.14573 rho_g_cm3=6.00 pbc="T T T"
Zr 0.0000 2.5836 0.0000
Zr 2.5836 0.0000 0.0000
Zr 0.0000 0.0000 2.5836
Sn 0.0000 0.0000 0.0000
Pd 2.5836 2.5836 2.5836

---

# 19
5
Lattice="4.4483 0.0000 0.0000 0.0000 4.4483 0.0000 -2.2241 -2.2241 5.3542" Properties=species:S:1:pos:R:3 comment="Zr2SnPd2, PBEsol geometry, DFT meta-GGA SCAN" magmom_total_mub_per_atom=0.00 formation_energy_mev_per_atom=-415 dft_energy_ha_per_atom=-1.21231 rho_g_cm3=8.06 pbc="T T T"
Zr 0.0000 2.2241 2.6771
Zr 2.2241 0.0000 2.6771
Pd 2.2241 2.2241 1.2365
Pd 0.0000 0.0000 4.1177
Sn 0.0000 0.0000 0.0000

---

# 20
6
Lattice="-5.2957 0.7994 1.2365 -3.7784 0.0409 -3.9918 -3.5807 -4.1472 -0.4375" Properties=species:S:1:pos:R:3 comment="SrPd2, PBEsol geometry, DFT meta-GGA SCAN" magmom_total_mub_per_atom=0.00 formation_energy_mev_per_atom=-676 dft_energy_ha_per_atom=-1.10068 rho_g_cm3=8.50 pbc="T T T"
Pd -3.4711 -0.3929 -2.3950
Pd -4.2297 -0.0137 0.2191
Pd -3.3722 -2.4870 -0.6179
Pd -1.5819 -0.4134 -0.3991
Sr -9.4911 -2.4802 -2.3946
Sr -6.3274 -1.6534 -1.5964

---

# 21
4
Lattice="4.7701 0.0000 0.0000 2.3850 4.1310 0.0000 2.3850 1.3770 3.8947" Properties=species:S:1:pos:R:3 comment="SrTaPd2, PBEsol geometry, DFT meta-GGA SCAN" magmom_total_mub_per_atom=0.00 formation_energy_mev_per_atom=175 dft_energy_ha_per_atom=-1.41216 rho_g_cm3=10.42 pbc="T T T"
Pd 7.1551 4.1310 2.9211
Pd 2.3850 1.3770 0.9737
Sr 0.0000 0.0000 0.0000
Ta 4.7701 2.7540 1.9474

---

# 22
5
Lattice="4.8141 0.0000 0.0000 0.0000 4.8141 0.0000 0.0000 0.0000 5.2804" Properties=species:S:1:pos:R:3 comment="SrTa2TcPd, PBEsol geometry, DFT meta-GGA SCAN" magmom_total_mub_per_atom=0.32 formation_energy_mev_per_atom=1612 dft_energy_ha_per_atom=-1.58180 rho_g_cm3=8.87 pbc="T T T"
Sr 0.0000 0.0000 2.6402
Ta 2.4070 0.0000 0.0000
Ta 0.0000 2.4070 0.0000
Tc 2.4070 2.4070 2.6402
Pd 0.0000 0.0000 0.0000

---

# 23
5
Lattice="-5.3992 -0.5787 -1.8494 -0.8736 -4.1598 3.8522 -1.7297 3.9074 3.8271" Properties=species:S:1:pos:R:3 comment="Sr3TePd, PBEsol geometry, DFT meta-GGA SCAN" magmom_total_mub_per_atom=0.00 e_form_raw_mev_per_atom=-714 dft_energy_ha_per_atom=-1.03208 rho_g_cm3=4.37 pbc="T T T"
Pd 0.0000 0.0000 0.0000
Sr -2.6996 -0.2894 -0.9247
Sr -0.4368 -2.0799 1.9261
Sr -0.8649 1.9537 1.9136
Te -4.0013 -0.4156 2.9150

---

# 24
5
Lattice="-0.3339 -3.5247 -2.6129 4.3317 0.1520 -0.7586 -1.1592 -1.4776 5.8464" Properties=species:S:1:pos:R:3 comment="SrTi2Pd2, PBEsol geometry, DFT meta-GGA SCAN" magmom_total_mub_per_atom=0.00 formation_energy_mev_per_atom=-431 dft_energy_ha_per_atom=-0.89698 rho_g_cm3=6.42 pbc="T T T"
Sr 0.0000 0.0000 0.0000
Ti 2.5857 -1.5059 1.7010
Ti 0.2529 -3.3443 0.7738
Pd 2.2139 -2.4964 -0.6205
Pd 0.6247 -2.3538 3.0954

---

# 25
5
Lattice="4.8269 0.0000 0.0000 0.0000 4.8269 0.0000 0.0000 0.0000 4.8269" Properties=species:S:1:pos:R:3 comment="SrPdW3, PBEsol geometry, DFT meta-GGA SCAN" magmom_total_mub_per_atom=0.00 formation_energy_mev_per_atom=2212 dft_energy_ha_per_atom=-1.85990 rho_g_cm3=11.01 pbc="T T T"
Pd 0.0000 0.0000 0.0000
W 0.0000 2.4135 0.0000
W 0.0000 0.0000 2.4135
W 2.4135 0.0000 0.0000
Sr 2.4135 2.4135 2.4135

---

# 26
5
Lattice="-4.6775 2.4220 0.3505 -2.3304 -4.6391 0.9570 0.7471 0.6933 5.1797" Properties=species:S:1:pos:R:3 comment="SrY3Pd, PBEsol geometry, DFT meta-GGA SCAN" magmom_total_mub_per_atom=0.00 formation_energy_mev_per_atom=1377 dft_energy_ha_per_atom=-0.96794 rho_g_cm3=5.20 pbc="T T T"
Y -1.1652 -2.3195 0.4785
Y 0.3735 0.3466 2.5898
Y -2.3387 1.2110 0.1752
Pd -3.1304 -0.7619 3.2436
Sr 0.0000 0.0000 0.0000

---

# 27
5
Lattice="5.0139 0.0000 0.0000 0.0000 5.0139 0.0000 0.0000 0.0000 5.0139" Properties=species:S:1:pos:R:3 comment="SrZnPd3, PBEsol geometry, DFT meta-GGA SCAN" magmom_total_mub_per_atom=0.00 formation_energy_mev_per_atom=1104 dft_energy_ha_per_atom=-0.94514 rho_g_cm3=6.22 pbc="T T T"
Pd 0.0000 0.0000 2.5070
Pd 0.0000 2.5070 0.0000
Pd 2.5070 0.0000 0.0000
Zn 2.5070 2.5070 2.5070
Sr 0.0000 0.0000 0.0000